[1]
HoCo4As2 (PBE, optimized geometry); space group = P4_2/mnm, No. 136; N(E_F) = 15.480 states/eV per cell; ΔE_f = -11.6 kcal/mol of atoms; total magnetic moment = 0.438 μB per atom
1.0
7.2395 0.0000 0.0000
0.0000 7.2395 0.0000
0.0000 0.0000 3.7077
Ho Co As
2 8 4
Cartesian
0.0000 0.0000 0.0000 Ho
3.6198 3.6198 1.8539 Ho
0.5977 2.5313 1.8539 Co
1.0885 4.2174 0.0000 Co
2.5313 0.5977 1.8539 Co
3.0221 6.1510 0.0000 Co
4.2174 1.0885 0.0000 Co
4.7083 6.6419 1.8539 Co
6.1510 3.0221 0.0000 Co
6.6419 4.7083 1.8539 Co
1.5966 5.6430 1.8539 As
2.0232 2.0232 0.0000 As
5.2163 5.2163 0.0000 As
5.6430 1.5966 1.8539 As

=====

[2]
Ho2CoNi3As4 (PBE, optimized geometry); space group = P-4m2, No. 115; N(E_F) = 4.558 states/eV per cell; ΔE_f = -17.3 kcal/mol of atoms; total magnetic moment = 0.095 μB per atom
1.0
4.0999 0.0000 0.0000
0.0000 4.0999 0.0000
0.0000 0.0000 9.5486
Ho Co Ni As
2 1 3 4
Cartesian
0.0000 2.0499 2.3534 Ho
2.0499 0.0000 7.1953 Ho
2.0499 2.0499 0.0000 Co
0.0000 0.0000 0.0000 Ni
0.0000 2.0499 5.9700 Ni
2.0499 0.0000 3.5787 Ni
0.0000 0.0000 4.7743 As
0.0000 2.0499 8.2903 As
2.0499 0.0000 1.2584 As
2.0499 2.0499 4.7743 As

=====

[3]
Ho2Co3NiAs4 (PBE, optimized geometry); space group = P-4m2, No. 115; N(E_F) = 6.011 states/eV per cell; ΔE_f = -16.8 kcal/mol of atoms; total magnetic moment = 0.092 μB per atom
1.0
4.0882 0.0000 0.0000
0.0000 4.0882 0.0000
0.0000 0.0000 9.4330
Ho Co Ni As
2 3 1 4
Cartesian
0.0000 2.0441 2.3496 Ho
2.0441 0.0000 7.0834 Ho
0.0000 2.0441 8.3258 Co
2.0441 0.0000 1.1073 Co
2.0441 2.0441 4.7165 Co
0.0000 0.0000 4.7165 Ni
0.0000 0.0000 0.0000 As
0.0000 2.0441 6.0179 As
2.0441 0.0000 3.4151 As
2.0441 2.0441 0.0000 As

=====

[4]
CoAsI3 (PBE, optimized geometry); space group = Pm-3m, No. 221; offset from the most stable computed form = 240 meV/atom; formation energy (no corrections) = 811 meV per atom; N(E_F) = 21.529 states/eV per cell; total magnetic moment = 0.579 μB per atom
1.0
5.6972 0.0000 0.0000
0.0000 5.6972 0.0000
0.0000 0.0000 5.6972
Co As I
1 1 3
Cartesian
0.0000 0.0000 0.0000 Co
2.8486 2.8486 2.8486 As
0.0000 2.8486 2.8486 I
2.8486 0.0000 2.8486 I
2.8486 2.8486 0.0000 I

=====

[5]
Co3AsI (PBE, optimized geometry); space group = Pm-3m, No. 221; offset from the most stable computed form = 659 meV/atom; formation energy (no corrections) = 1466 meV per atom; N(E_F) = 7.318 states/eV per cell; total magnetic moment = 0.550 μB per atom
1.0
4.6208 0.0000 0.0000
0.0000 4.6208 0.0000
0.0000 0.0000 4.6208
Co As I
3 1 1
Cartesian
0.0000 0.0000 2.3104 Co
0.0000 2.3104 0.0000 Co
2.3104 0.0000 0.0000 Co
2.3104 2.3104 2.3104 As
0.0000 0.0000 0.0000 I

=====

[6]
Co3AsI (PBE, optimized geometry); space group = Pm-3m, No. 221; offset from the most stable computed form = 0 meV/atom; formation energy (no corrections) = 808 meV per atom; N(E_F) = 5.861 states/eV per cell; total magnetic moment = 0.562 μB per atom
1.0
4.4614 0.0000 0.0000
0.0000 4.4614 0.0000
0.0000 0.0000 4.4614
Co As I
3 1 1
Cartesian
0.0000 0.0000 2.2307 Co
0.0000 2.2307 0.0000 Co
2.2307 0.0000 0.0000 Co
0.0000 0.0000 0.0000 As
2.2307 2.2307 2.2307 I

=====

[7]
CoAsI3 (PBE, optimized geometry); space group = Pm-3m, No. 221; offset from the most stable computed form = 0 meV/atom; formation energy (no corrections) = 571 meV per atom; N(E_F) = 2.392 states/eV per cell; total magnetic moment = 0.000 μB per atom
1.0
5.1712 0.0000 0.0000
0.0000 5.1712 0.0000
0.0000 0.0000 5.1712
Co As I
1 1 3
Cartesian
0.0000 0.0000 0.0000 Co
2.5856 2.5856 2.5856 As
0.0000 0.0000 2.5856 I
0.0000 2.5856 0.0000 I
2.5856 0.0000 0.0000 I

=====

[8]
InCo2AsI (PBE, optimized geometry); space group = P4/mmm, No. 123; formation energy (no corrections) = 1194 meV per atom; N(E_F) = 4.164 states/eV per cell; total magnetic moment = 0.554 μB per atom
1.0
4.6568 0.0000 0.0000
0.0000 4.6568 0.0000
0.0000 0.0000 5.8003
In Co As I
1 2 1 1
Cartesian
0.0000 0.0000 0.0000 In
0.0000 2.3284 2.9001 Co
2.3284 0.0000 2.9001 Co
2.3284 2.3284 0.0000 As
2.3284 2.3284 2.9001 I

=====

[9]
CoAs2IrI (PBE, optimized geometry); space group = P4/mmm, No. 123; formation energy (no corrections) = 715 meV per atom; N(E_F) = 7.384 states/eV per cell; total magnetic moment = 0.522 μB per atom
1.0
4.7672 0.0000 0.0000
0.0000 4.7672 0.0000
0.0000 0.0000 5.0759
Co As Ir I
1 2 1 1
Cartesian
0.0000 0.0000 0.0000 Co
0.0000 2.3836 2.5379 As
2.3836 0.0000 2.5379 As
0.0000 0.0000 2.5379 Ir
2.3836 2.3836 0.0000 I

=====

[10]
La4CoAsI2 (PBE, optimized geometry); space group = P2/m, No. 10; formation energy (no corrections) = -1003 meV per atom; N(E_F) = 5.872 states/eV per cell; total magnetic moment = 0.000 μB per atom
1.0
7.8163 0.0000 0.0000
0.0000 4.1392 0.0000
-2.3977 0.0000 7.9633
La Co As I
4 1 1 2
Cartesian
1.1264 0.0000 1.4293 La
0.1089 2.0696 6.3593 La
5.3097 2.0696 1.6040 La
4.2921 0.0000 6.5340 La
0.0000 2.0696 0.0000 Co
3.9081 0.0000 0.0000 As
-1.1989 0.0000 3.9816 I
2.7093 2.0696 3.9816 I

=====

[11]
LiCo2AsI (PBE, optimized geometry); space group = P4/mmm, No. 123; formation energy (no corrections) = 393 meV per atom; N(E_F) = 8.578 states/eV per cell; total magnetic moment = 0.338 μB per atom
1.0
4.3143 0.0000 0.0000
0.0000 4.3143 0.0000
0.0000 0.0000 7.1200
Li Co As I
1 2 1 1
Cartesian
0.0000 0.0000 0.0000 Li
0.0000 2.1571 3.5600 Co
2.1571 0.0000 3.5600 Co
2.1571 2.1571 3.5600 As
2.1571 2.1571 0.0000 I

=====

[12]
Co2AsIN (PBE, optimized geometry); space group = P4/mmm, No. 123; formation energy (no corrections) = 1873 meV per atom; N(E_F) = 7.343 states/eV per cell; total magnetic moment = 0.728 μB per atom
1.0
4.3947 0.0000 0.0000
0.0000 4.3947 0.0000
0.0000 0.0000 5.9079
Co As I N
2 1 1 1
Cartesian
0.0000 2.1973 0.0000 Co
2.1973 0.0000 0.0000 Co
0.0000 0.0000 0.0000 As
0.0000 0.0000 2.9539 I
2.1973 2.1973 2.9539 N

=====

[13]
CoAsIN2 (PBE, optimized geometry); space group = P4/mmm, No. 123; offset from the most stable computed form = 50 meV/atom; formation energy (no corrections) = 1465 meV per atom; N(E_F) = 2.397 states/eV per cell; total magnetic moment = 0.527 μB per atom
1.0
3.7246 0.0000 0.0000
0.0000 3.7246 0.0000
0.0000 0.0000 7.1773
Co As I N
1 1 1 2
Cartesian
0.0000 0.0000 0.0000 Co
1.8623 1.8623 3.5887 As
1.8623 1.8623 0.0000 I
0.0000 1.8623 3.5887 N
1.8623 0.0000 3.5887 N

=====

[14]
CoAsIN2 (PBE, optimized geometry); space group = P4/mmm, No. 123; offset from the most stable computed form = 0 meV/atom; formation energy (no corrections) = 1415 meV per atom; N(E_F) = 4.008 states/eV per cell; total magnetic moment = 0.078 μB per atom
1.0
3.7169 0.0000 0.0000
0.0000 3.7169 0.0000
0.0000 0.0000 7.4647
Co As I N
1 1 1 2
Cartesian
0.0000 0.0000 0.0000 Co
1.8585 1.8585 3.7324 As
0.0000 0.0000 3.7324 I
0.0000 1.8585 0.0000 N
1.8585 0.0000 0.0000 N

=====

[15]
CoNiAs2I (PBE, optimized geometry); space group = P4/mmm, No. 123; formation energy (no corrections) = 1786 meV per atom; N(E_F) = 8.930 states/eV per cell; total magnetic moment = 0.466 μB per atom
1.0
5.4197 0.0000 0.0000
0.0000 5.4197 0.0000
0.0000 0.0000 4.5527
Co Ni As I
1 1 2 1
Cartesian
0.0000 0.0000 0.0000 Co
2.7099 2.7099 0.0000 Ni
0.0000 2.7099 2.2764 As
2.7099 0.0000 2.2764 As
0.0000 0.0000 2.2764 I